1.
A plane-wave DFT calculation with PBE was carried out for CaThCuAu after structural relaxation.

Results
The value obtained for the total energy is -4.555 eV per atom. Its total magnetic moment is 0.00 μB per formula unit. The space group is No. 216. The value obtained for the energy relative to the elements is -137 kJ/mol of formula units.

Structure (POSCAR):
```
CaThCuAu
1.0
5.1322 0.0000 0.0000
2.5661 4.4446 0.0000
2.5661 1.4815 4.1904
Cu Ca Th Au
1 1 1 1
Cartesian
2.5661 1.4815 1.0476
0.0000 0.0000 0.0000
5.1322 2.9631 2.0952
7.6982 4.4446 3.1428
```


2.
A plane-wave DFT calculation with PBE was carried out for CaTlCuAu2 after structural relaxation.

Results
The value obtained for the total energy is -3.110 eV per atom. Its total magnetic moment is 0.00 μB per formula unit. The space group is No. 123. The value obtained for the energy relative to the elements is -51 kJ/mol of formula units.

Structure (POSCAR):
```
CaTlCuAu2
1.0
-2.1673 -4.4631 0.4069
4.4812 -2.1521 0.2632
-0.0595 0.4762 4.9063
Au Tl Cu Ca
2 1 1 1
Cartesian
-1.0837 -2.2315 0.2034
2.2406 -1.0761 0.1316
-0.0298 0.2381 2.4532
0.0000 0.0000 0.0000
1.1271 -3.0695 2.7882
```


3.
A plane-wave DFT calculation with PBE was carried out for CaTlCuAu after structural relaxation.

Results
The value obtained for the total energy is -3.175 eV per atom. Its total magnetic moment is 0.00 μB per formula unit. The space group is No. 216. The value obtained for the energy relative to the elements is -92 kJ/mol of formula units.

Structure (POSCAR):
```
CaTlCuAu
1.0
-4.2759 1.1927 2.1917
-4.2900 -0.8267 -2.3284
-3.0392 -3.5646 1.6020
Cu Au Tl Ca
1 1 1 1
Cartesian
-8.7038 -2.3990 1.0989
-2.9013 -0.7997 0.3663
0.0000 0.0000 0.0000
-5.8026 -1.5993 0.7326
```


4.
A plane-wave DFT calculation with PBE was carried out for CaTmCuAu after structural relaxation.

Results
The value obtained for the total energy is -3.937 eV per atom. Its total magnetic moment is 0.00 μB per formula unit. The space group is No. 216. The value obtained for the energy relative to the elements is -184 kJ/mol of formula units.

Structure (POSCAR):
```
CaTmCuAu
1.0
4.9941 0.0000 0.0000
2.4971 4.3250 0.0000
2.4971 1.4417 4.0777
Au Cu Tm Ca
1 1 1 1
Cartesian
7.4912 4.3250 3.0582
2.4971 1.4417 1.0194
4.9941 2.8833 2.0388
0.0000 0.0000 0.0000
```


5.
A plane-wave DFT calculation with PBE was carried out for Ca2VCuAu after structural relaxation.

Results
The value obtained for the total energy is -3.443 eV per atom. Its total magnetic moment is 3.82 μB per formula unit. The space group is No. 123. The value obtained for the energy relative to the elements is 316 kJ/mol of formula units.

Structure (POSCAR):
```
Ca2VCuAu
1.0
5.6596 0.0000 0.0000
0.0000 4.4467 0.0000
0.0000 0.0000 5.6596
Au Cu Ca V
1 1 2 1
Cartesian
2.8298 2.2234 2.8298
0.0000 2.2234 0.0000
0.0000 0.0000 2.8298
2.8298 0.0000 0.0000
0.0000 0.0000 0.0000
```


6.
A plane-wave DFT calculation with PBE was carried out for CaYCuAu after structural relaxation.

Results
The value obtained for the total energy is -4.465 eV per atom. Its total magnetic moment is 0.00 μB per formula unit. The space group is No. 38. The value obtained for the energy relative to the elements is -195 kJ/mol of formula units.

Structure (POSCAR):
```
CaYCuAu
1.0
-3.4587 -0.9751 -1.5157
1.7852 0.1333 -4.1596
3.0313 -4.7388 1.1491
Ca Y Au Cu
1 1 1 1
Cartesian
0.3714 -1.4911 0.1116
0.1049 -4.2010 -2.5547
-0.6434 -1.1970 -2.7796
1.0974 -4.4053 0.3298
```


energy relative to the elements of number 2 (CaTlCuAu2)?
-51 kJ/mol of formula units


What is the formula in the first record?
CaThCuAu